PmHoCd6 | GGA-PBE | relaxed

Cell: 4.909 7.177 11.016 Å, 90.00 90.00 90.00°
Space group Amm2 (No. 38)
Asymmetric unit:
Pm1 0.000 0.000 0.000 x2
Ho1 0.500 0.000 0.725 x2
Cd1 0.000 0.000 0.538 x2
Cd2 0.000 0.218 0.269 x4
Cd3 0.500 0.000 0.192 x2
Cd4 0.500 0.214 0.456 x4

Computed properties:
V   24.25 Å³ per atom
D(E_F)   7.48 states/eV per cell
ΔE_f   -0.287 eV per atom

MnRe2Rh | GGA-PBE | relaxed

Cell: 6.147 6.147 6.147 Å, 90.00 90.00 90.00°
Space group F-43m (No. 216)
Asymmetric unit:
Mn1 0.000 0.000 0.000 x4
Re1 0.000 0.000 0.500 x4
Re2 0.250 0.250 0.750 x4
Rh1 0.250 0.250 0.250 x4

Computed properties:
Distance to the lowest polymorph of the same formula   191 meV/atom
V   14.51 Å³ per atom
D(E_F)   20.86 states/eV per cell
ΔE_f   0.166 eV per atom

Y2BiSb | GGA-PBE | relaxed

Cell: 4.4337 4.4337 21.7509 Å, 90.00 90.00 120.00°
Space group R-3m (No. 166, hexagonal axes)
Asymmetric unit:
Y1 0.0000 0.0000 0.2479 x6
Bi1 0.0000 0.0000 0.0000 x3
Sb1 0.0000 0.0000 0.5000 x3

Computed properties:
Distance to the lowest polymorph of the same formula   0 meV/atom
V   30.86 Å³ per atom
D(E_F)   2.18 states/eV per cell

LiSc2Ta | GGA-PBE | relaxed

Cell: 4.278 4.428 9.041 Å, 90.00 90.00 90.00°
Space group Cmmm (No. 65)
Asymmetric unit:
Li1 0.000 0.000 0.000 x2
Sc1 0.000 0.500 0.269 x4
Ta1 0.000 0.000 0.500 x2

Computed properties:
Distance to the lowest polymorph of the same formula   0 meV/atom
V   21.41 Å³ per atom
D(E_F)   10.44 states/eV per cell
ΔE_f   0.131 eV per atom